(1)
# NaBAsIr

Crystalline NaBAsIr at its relaxed geometry (PBE, the Open Quantum Materials Database).

Cell lengths 4.366, 4.366, 4.366 Å; angles 60.00, 60.00, 60.00 degrees
Fractional positions:
Na (0.000, 0.000, 0.000)
B (0.250, 0.250, 0.250)
As (0.500, 0.500, 0.500)
Ir (0.750, 0.750, 0.750)

Calculated values
As for the volume: 14.71 Å³/atom. As for the space group: F-43m, No. 216. Its polymorph energy (0 for the lowest one) is 482 meV per atom. For the energy, the calculation gives -4.386 eV/atom.

***

(2)
# LuNiAsOs

Crystalline LuNiAsOs at its relaxed geometry (PBE, the Open Quantum Materials Database).

Cell lengths 4.578, 4.578, 4.578 Å; angles 60.00, 60.00, 60.00 degrees
Fractional positions:
Lu (0.000, 0.000, 0.000)
Ni (0.500, 0.500, 0.500)
As (0.250, 0.250, 0.250)
Os (0.750, 0.750, 0.750)

Calculated values
As for the volume: 16.96 Å³/atom. As for the space group: F-43m, No. 216. For the energy, the calculation gives -6.234 eV/atom.

***

(3)
# SmSiHg

Crystalline SmSiHg at its relaxed geometry (PBE, the Open Quantum Materials Database).

Cell lengths 4.732, 4.732, 4.732 Å; angles 60.00, 60.00, 60.00 degrees
Fractional positions:
Sm (0.000, 0.000, 0.000)
Si (0.750, 0.750, 0.750)
Hg (0.500, 0.500, 0.500)

Calculated values
As for the volume: 24.98 Å³/atom. As for the space group: F-43m, No. 216. Its polymorph energy (0 for the lowest one) is 300 meV per atom. For the energy, the calculation gives -3.739 eV/atom.

***

(4)
# Dy3MgCd2InGa2

Crystalline Dy3MgCd2InGa2 at its relaxed geometry (PBE, the Open Quantum Materials Database).

Cell lengths 4.522, 7.300, 7.300 Å; angles 119.99, 90.00, 90.00 degrees
Fractional positions:
Dy (0.000, 0.000, 0.000)
Dy (0.000, 0.126, 0.565)
Dy (0.000, 0.565, 0.126)
Mg (0.500, 0.318, 0.318)
Cd (0.500, 0.564, 0.819)
Cd (0.500, 0.819, 0.564)
In (0.000, 0.561, 0.561)
Ga (0.500, 0.230, 0.902)
Ga (0.500, 0.902, 0.230)

Calculated values
As for the volume: 23.19 Å³/atom. As for the space group: Amm2, No. 38. For the energy, the calculation gives -3.371 eV/atom.

***

(5)
# KB4Mo

Crystalline KB4Mo at its relaxed geometry (PBE, the Open Quantum Materials Database).

Cell lengths 4.864, 4.864, 4.864 Å; angles 143.62, 109.94, 81.60 degrees
Fractional positions:
K (0.000, 0.000, 0.000)
B (0.102, 0.764, 0.338)
B (0.426, 0.764, 0.662)
B (0.574, 0.236, 0.338)
B (0.898, 0.236, 0.662)
Mo (0.500, 0.500, 0.000)

Calculated values
As for the volume: 10.41 Å³/atom. As for the space group: Immm, No. 71. Its polymorph energy (0 for the lowest one) is 579 meV per atom. For the energy, the calculation gives -5.942 eV/atom.

***

(6)
# Ho2Hg2O5

Crystalline Ho2Hg2O5 at its relaxed geometry (PBE, the Open Quantum Materials Database).

Cell lengths 4.277, 4.277, 7.164 Å; angles 90.00, 90.00, 90.00 degrees
Fractional positions:
Ho (0.000, 0.000, 0.000)
Ho (0.000, 0.000, 0.500)
Hg (0.500, 0.500, 0.193)
Hg (0.500, 0.500, 0.807)
O (0.000, 0.500, 0.208)
O (0.000, 0.500, 0.792)
O (0.500, 0.000, 0.208)
O (0.500, 0.000, 0.792)
O (0.500, 0.500, 0.500)

Calculated values
As for the volume: 14.56 Å³/atom. As for the space group: P4/mmm, No. 123. Its polymorph energy (0 for the lowest one) is 583 meV per atom. For the energy, the calculation gives -4.999 eV/atom.

***

(7)
# TlHg3GeO4

Crystalline TlHg3GeO4 at its relaxed geometry (PBE, the Open Quantum Materials Database).

Cell lengths 5.980, 5.980, 5.980 Å; angles 90.00, 90.00, 90.00 degrees
Fractional positions:
Tl (0.000, 0.000, 0.000)
Hg (0.000, 0.500, 0.500)
Hg (0.500, 0.000, 0.500)
Hg (0.500, 0.500, 0.000)
Ge (0.500, 0.500, 0.500)
O (0.326, 0.326, 0.326)
O (0.326, 0.674, 0.674)
O (0.674, 0.326, 0.674)
O (0.674, 0.674, 0.326)

Calculated values
As for the volume: 23.76 Å³/atom. As for the space group: P-43m, No. 215. For the energy, the calculation gives -3.527 eV/atom.

***

(8)
# TbGaAsO

Crystalline TbGaAsO at its relaxed geometry (PBE, the Open Quantum Materials Database).

Cell lengths 4.697, 5.938, 5.796 Å; angles 90.00, 90.00, 90.00 degrees
Fractional positions:
Tb (0.000, 0.242, 0.000)
Tb (0.000, 0.758, 0.500)
Ga (0.500, 0.159, 0.601)
Ga (0.500, 0.841, 0.101)
As (0.000, 0.266, 0.501)
As (0.000, 0.734, 0.001)
O (0.500, 0.164, 0.969)
O (0.500, 0.836, 0.469)

Calculated values
As for the volume: 20.20 Å³/atom. As for the space group: Pmc2_1, No. 26. Its polymorph energy (0 for the lowest one) is 184 meV per atom. For the energy, the calculation gives -5.748 eV/atom.

***

(9)
# Ho2NbPb2

Crystalline Ho2NbPb2 at its relaxed geometry (PBE, the Open Quantum Materials Database).

Cell lengths 4.219, 4.219, 7.293 Å; angles 90.00, 90.00, 90.00 degrees
Fractional positions:
Ho (0.000, 0.500, 0.000)
Ho (0.500, 0.000, 0.000)
Nb (0.000, 0.000, 0.500)
Pb (0.500, 0.500, 0.309)
Pb (0.500, 0.500, 0.691)

Calculated values
As for the volume: 25.97 Å³/atom. As for the space group: P4/mmm, No. 123. For the energy, the calculation gives -4.840 eV/atom.

***

(10)
# RbPmTeO

Crystalline RbPmTeO at its relaxed geometry (PBE, the Open Quantum Materials Database).

Cell lengths 4.934, 8.798, 7.087 Å; angles 90.00, 90.00, 90.00 degrees
Fractional positions:
Rb (0.000, 0.215, 0.000)
Rb (0.000, 0.785, 0.500)
Pm (0.500, 0.391, 0.400)
Pm (0.500, 0.609, 0.900)
Te (0.000, 0.203, 0.508)
Te (0.000, 0.797, 0.008)
O (0.500, 0.416, 0.091)
O (0.500, 0.584, 0.591)

Calculated values
As for the volume: 38.46 Å³/atom. As for the space group: Pmc2_1, No. 26. Its polymorph energy (0 for the lowest one) is 147 meV per atom. For the energy, the calculation gives -5.374 eV/atom.

***

(11)
# SrLiTb

Crystalline SrLiTb at its relaxed geometry (PBE, the Open Quantum Materials Database).

Cell lengths 5.408, 5.408, 5.408 Å; angles 60.00, 60.00, 60.00 degrees
Fractional positions:
Sr (0.000, 0.000, 0.000)
Li (0.250, 0.250, 0.250)
Tb (0.500, 0.500, 0.500)

Calculated values
As for the volume: 37.29 Å³/atom. As for the space group: F-43m, No. 216. For the energy, the calculation gives -2.236 eV/atom.

***

(12)
# AlGeW

Crystalline AlGeW at its relaxed geometry (PBE, the Open Quantum Materials Database).

Cell lengths 6.133, 4.871, 5.069 Å; angles 76.16, 50.46, 53.38 degrees
Fractional positions:
Al (0.000, 0.000, 0.000)
Al (0.250, 0.250, 0.250)
Ge (0.324, 0.324, 0.676)
Ge (0.574, 0.574, 0.926)
W (0.662, 0.662, 0.338)
W (0.912, 0.912, 0.588)

Calculated values
As for the volume: 15.21 Å³/atom. As for the space group: Fdd2, No. 43. Its polymorph energy (0 for the lowest one) is 0 meV per atom. For the energy, the calculation gives -7.187 eV/atom.

***

What did the twelfth record say?
# AlGeW

Crystalline AlGeW at its relaxed geometry (PBE, the Open Quantum Materials Database).

Cell lengths 6.133, 4.871, 5.069 Å; angles 76.16, 50.46, 53.38 degrees
Fractional positions:
Al (0.000, 0.000, 0.000)
Al (0.250, 0.250, 0.250)
Ge (0.324, 0.324, 0.676)
Ge (0.574, 0.574, 0.926)
W (0.662, 0.662, 0.338)
W (0.912, 0.912, 0.588)

Calculated values
As for the volume: 15.21 Å³/atom. As for the space group: Fdd2, No. 43. Its polymorph energy (0 for the lowest one) is 0 meV per atom. For the energy, the calculation gives -7.187 eV/atom.

***

Q: Which value of energy does entry 5 give?
A: -5.942 eV/atom